[1]
Below is a relaxed Al2As2N crystal, with properties calculated at the PBE-GGA level.

Properties
V	15.7	Å³ per atom
density	4.6	g/cm³
DFT total energy	-25.473	eV/f.u.
crystal system	tetragonal
E_form (uncorrected)	-0.07	eV/atom

Unit cell a=5.319 b=5.319 c=5.565 alpha=90.00 beta=90.00 gamma=90.00
Fractional positions:
As (0.732, 0.232, 0.500)
As (0.268, 0.768, 0.500)
As (0.232, 0.268, 0.500)
As (0.768, 0.732, 0.500)
Al (0.187, 0.313, 0.000)
Al (0.813, 0.687, 0.000)
Al (0.687, 0.187, 0.000)
Al (0.313, 0.813, 0.000)
N (0.000, 0.000, 0.000)
N (0.500, 0.500, 0.000)

=====

[2]
Below is a relaxed Al2As2N crystal, with properties calculated at the PBE-GGA level.

Properties
V	17.1	Å³ per atom
density	4.2	g/cm³
DFT total energy	-20.814	eV/f.u.
crystal system	tetragonal
E_form (uncorrected)	0.86	eV/atom

Unit cell a=3.552 b=3.552 c=7.220 alpha=75.76 beta=75.76 gamma=90.00
Fractional positions:
Al (0.410, 0.410, 0.180)
Al (0.590, 0.590, 0.820)
As (0.750, 0.250, 0.500)
As (0.250, 0.750, 0.500)
N (0.000, 0.000, 0.000)

=====

[3]
Below is a relaxed AlAs2N crystal, with properties calculated at the PBE-GGA level.

Properties
V	18.7	Å³ per atom
density	4.2	g/cm³
DFT total energy	-19.440	eV/f.u.
crystal system	tetragonal
E_form (uncorrected)	0.48	eV/atom

Unit cell a=5.168 b=5.168 c=6.685 alpha=67.26 beta=67.26 gamma=90.00
Fractional positions:
As (0.564, 0.125, 0.250)
As (0.186, 0.625, 0.250)
As (0.875, 0.814, 0.750)
As (0.375, 0.436, 0.750)
Al (0.000, 0.000, 0.000)
Al (0.750, 0.250, 0.500)
N (0.250, 0.750, 0.500)
N (0.500, 0.500, 0.000)

=====

[4]
Below is a relaxed NaAlAsN2 crystal, with properties calculated at the PBE-GGA level.

Properties
V	19.5	Å³ per atom
density	2.6	g/cm³
DFT total energy	-15.964	eV/f.u.
crystal system	tetragonal
E_form (uncorrected)	2.08	eV/atom

Unit cell a=4.237 b=5.420 c=4.237 alpha=90.00 beta=90.00 gamma=90.00
Fractional positions:
N (0.500, 0.000, 0.000)
N (0.000, 0.000, 0.500)
Al (0.000, 0.500, 0.000)
As (0.500, 0.500, 0.500)
Na (0.000, 0.000, 0.000)

=====

[5]
Below is a relaxed AlAsNO2 crystal, with properties calculated at the PBE-GGA level.

Properties
V	10.4	Å³ per atom
density	4.7	g/cm³
DFT total energy	-29.356	eV/f.u.
crystal system	tetragonal
E_form (uncorrected)	-0.54	eV/atom

Unit cell a=3.647 b=3.647 c=3.899 alpha=90.00 beta=90.00 gamma=90.00
Fractional positions:
O (0.500, 0.000, 0.000)
O (0.000, 0.500, 0.000)
Al (0.000, 0.000, 0.000)
As (0.500, 0.500, 0.500)
N (0.000, 0.000, 0.500)

=====

[6]
Below is a relaxed AlAsNO2 crystal, with properties calculated at the PBE-GGA level.

Properties
V	10.6	Å³ per atom
density	4.6	g/cm³
DFT total energy	-27.359	eV/f.u.
crystal system	tetragonal
E_form (uncorrected)	-0.15	eV/atom

Unit cell a=3.687 b=3.687 c=3.915 alpha=90.00 beta=90.00 gamma=90.00
Fractional positions:
As (0.000, 0.000, 0.000)
O (0.000, 0.500, 0.000)
O (0.500, 0.000, 0.000)
Al (0.500, 0.500, 0.500)
N (0.000, 0.000, 0.500)

=====

[7]
Below is a relaxed AlAsPb2N crystal, with properties calculated at the PBE-GGA level.

Properties
V	33.9	Å³ per atom
density	5.2	g/cm³
DFT total energy	-16.680	eV/f.u.
crystal system	tetragonal
E_form (uncorrected)	1.49	eV/atom

Unit cell a=5.987 b=4.731 c=5.987 alpha=90.00 beta=90.00 gamma=90.00
Fractional positions:
As (0.000, 0.000, 0.000)
Pb (0.000, 0.000, 0.500)
Pb (0.500, 0.000, 0.000)
Al (0.000, 0.500, 0.000)
N (0.500, 0.500, 0.500)

=====

[8]
Below is a relaxed RbAl2AsN crystal, with properties calculated at the PBE-GGA level.

Properties
V	50.8	Å³ per atom
density	1.5	g/cm³
DFT total energy	-9.415	eV/f.u.
crystal system	tetragonal
E_form (uncorrected)	2.40	eV/atom

Unit cell a=6.605 b=5.821 c=6.605 alpha=90.00 beta=90.00 gamma=90.00
Fractional positions:
As (0.000, 0.500, 0.000)
Al (0.500, 0.000, 0.000)
Al (0.000, 0.000, 0.500)
Rb (0.000, 0.000, 0.000)
N (0.500, 0.500, 0.500)

=====

[9]
Below is a relaxed AlAs2RuN crystal, with properties calculated at the PBE-GGA level.

Properties
V	16.9	Å³ per atom
density	5.7	g/cm³
DFT total energy	-26.220	eV/f.u.
crystal system	tetragonal
E_form (uncorrected)	0.88	eV/atom

Unit cell a=4.954 b=3.445 c=4.954 alpha=90.00 beta=90.00 gamma=90.00
Fractional positions:
As (0.000, 0.000, 0.500)
As (0.500, 0.000, 0.000)
N (0.000, 0.500, 0.000)
Ru (0.500, 0.500, 0.500)
Al (0.000, 0.000, 0.000)

=====

[10]
Below is a relaxed AlAsSN2 crystal, with properties calculated at the PBE-GGA level.

Properties
V	13.9	Å³ per atom
density	3.9	g/cm³
DFT total energy	-25.271	eV/f.u.
crystal system	tetragonal
E_form (uncorrected)	0.78	eV/atom

Unit cell a=3.706 b=3.706 c=5.060 alpha=90.00 beta=90.00 gamma=90.00
Fractional positions:
N (0.500, 0.000, 0.000)
N (0.000, 0.500, 0.000)
Al (0.000, 0.000, 0.000)
S (0.000, 0.000, 0.500)
As (0.500, 0.500, 0.500)

=====

[11]
Below is a relaxed AlAsSN2 crystal, with properties calculated at the PBE-GGA level.

Properties
V	14.3	Å³ per atom
density	3.8	g/cm³
DFT total energy	-24.154	eV/f.u.
crystal system	tetragonal
E_form (uncorrected)	1.00	eV/atom

Unit cell a=3.663 b=3.663 c=5.327 alpha=90.00 beta=90.00 gamma=90.00
Fractional positions:
S (0.000, 0.000, 0.500)
As (0.000, 0.000, 0.000)
N (0.000, 0.500, 0.000)
N (0.500, 0.000, 0.000)
Al (0.500, 0.500, 0.500)

=====

[12]
Below is a relaxed AlSnAsN2 crystal, with properties calculated at the PBE-GGA level.

Properties
V	17.1	Å³ per atom
density	4.8	g/cm³
DFT total energy	-22.308	eV/f.u.
crystal system	tetragonal
E_form (uncorrected)	1.35	eV/atom

Unit cell a=3.917 b=5.584 c=3.917 alpha=90.00 beta=90.00 gamma=90.00
Fractional positions:
N (0.000, 0.000, 0.500)
N (0.500, 0.000, 0.000)
Sn (0.000, 0.500, 0.000)
Al (0.500, 0.500, 0.500)
As (0.000, 0.000, 0.000)

=====

[13]
Below is a relaxed AlTe2AsN crystal, with properties calculated at the PBE-GGA level.

Properties
V	21.8	Å³ per atom
density	5.7	g/cm³
DFT total energy	-20.979	eV/f.u.
crystal system	tetragonal
E_form (uncorrected)	0.40	eV/atom

Unit cell a=5.589 b=5.589 c=3.490 alpha=90.00 beta=90.00 gamma=90.00
Fractional positions:
N (0.000, 0.000, 0.500)
Te (0.500, 0.000, 0.000)
Te (0.000, 0.500, 0.000)
Al (0.000, 0.000, 0.000)
As (0.500, 0.500, 0.500)

=====

[14]
Below is a relaxed AlTe2AsN crystal, with properties calculated at the PBE-GGA level.

Properties
V	23.5	Å³ per atom
density	5.2	g/cm³
DFT total energy	-19.152	eV/f.u.
crystal system	tetragonal
E_form (uncorrected)	0.77	eV/atom

Unit cell a=5.698 b=5.698 c=3.618 alpha=90.00 beta=90.00 gamma=90.00
Fractional positions:
As (0.000, 0.000, 0.000)
Al (0.500, 0.500, 0.500)
Te (0.500, 0.000, 0.000)
Te (0.000, 0.500, 0.000)
N (0.000, 0.000, 0.500)

=====

[15]
Below is a relaxed AlZn2AsN crystal, with properties calculated at the PBE-GGA level.

Properties
V	18.8	Å³ per atom
density	4.4	g/cm³
DFT total energy	-16.444	eV/f.u.
crystal system	tetragonal
E_form (uncorrected)	0.56	eV/atom

Unit cell a=5.248 b=3.412 c=5.248 alpha=90.00 beta=90.00 gamma=90.00
Fractional positions:
Zn (0.500, 0.000, 0.000)
Zn (0.000, 0.000, 0.500)
Al (0.000, 0.000, 0.000)
N (0.000, 0.500, 0.000)
As (0.500, 0.500, 0.500)

=====

[16]
Below is a relaxed NaAl3As crystal, with properties calculated at the PBE-GGA level.

Properties
V	26.5	Å³ per atom
density	2.2	g/cm³
DFT total energy	-11.400	eV/f.u.
formation energy from the elements	1.159	eV/atom
crystal system	cubic

Unit cell a=5.101 b=5.101 c=5.101 alpha=90.00 beta=90.00 gamma=90.00
Fractional positions:
Al (0.500, 0.000, 0.000)
Al (0.000, 0.500, 0.000)
Al (0.000, 0.000, 0.500)
Na (0.000, 0.000, 0.000)
As (0.500, 0.500, 0.500)

=====

[17]
Below is a relaxed Na2AlAs crystal, with properties calculated at the PBE-GGA level.

Properties
V	22.5	Å³ per atom
density	2.7	g/cm³
DFT total energy	-11.035	eV/f.u.
formation energy from the elements	-0.001	eV/atom
crystal system	cubic

Unit cell a=5.031 b=5.031 c=5.031 alpha=60.00 beta=60.00 gamma=60.00
Fractional positions:
Na (0.250, 0.250, 0.250)
Na (0.750, 0.750, 0.750)
As (0.500, 0.500, 0.500)
Al (0.000, 0.000, 0.000)

=====

[18]
Below is a relaxed NaAl2As2 crystal, with properties calculated at the PBE-GGA level.

Properties
V	19.7	Å³ per atom
density	3.8	g/cm³
DFT total energy	-18.594	eV/f.u.
formation energy from the elements	-0.098	eV/atom
crystal system	tetragonal

Unit cell a=7.521 b=7.521 c=3.475 alpha=90.00 beta=90.00 gamma=90.00
Fractional positions:
Al (0.634, 0.866, 0.500)
Al (0.366, 0.134, 0.500)
Al (0.134, 0.634, 0.500)
Al (0.866, 0.366, 0.500)
As (0.844, 0.656, 0.000)
As (0.156, 0.344, 0.000)
As (0.344, 0.844, 0.000)
As (0.656, 0.156, 0.000)
Na (0.000, 0.000, 0.000)
Na (0.500, 0.500, 0.000)

=====

[19]
Below is a relaxed Na3AlAs2 crystal, with properties calculated at the PBE-GGA level.

Properties
V	27.7	Å³ per atom
density	2.5	g/cm³
DFT total energy	-19.064	eV/f.u.
formation energy from the elements	-0.344	eV/atom
crystal system	orthorhombic

Unit cell a=6.729 b=7.450 c=8.320 alpha=116.60 beta=113.85 gamma=90.00
Fractional positions:
As (0.122, 0.877, 0.754)
As (0.632, 0.377, 0.754)
As (0.368, 0.623, 0.246)
As (0.878, 0.123, 0.246)
Na (0.760, 0.010, 0.519)
Na (0.240, 0.990, 0.481)
Na (0.240, 0.490, 0.481)
Na (0.500, 0.250, 0.000)
Na (0.500, 0.750, 0.000)
Na (0.760, 0.510, 0.519)
Al (0.000, 0.000, 0.000)
Al (0.000, 0.500, 0.000)

=====

[20]
Below is a relaxed NaAl3As crystal, with properties calculated at the PBE-GGA level.

Properties
V	26.7	Å³ per atom
density	2.2	g/cm³
DFT total energy	-14.794	eV/f.u.
formation energy from the elements	0.480	eV/atom
crystal system	cubic

Unit cell a=5.113 b=5.113 c=5.113 alpha=90.00 beta=90.00 gamma=90.00
Fractional positions:
Al (0.000, 0.500, 0.000)
Al (0.500, 0.000, 0.000)
Al (0.000, 0.000, 0.500)
As (0.000, 0.000, 0.000)
Na (0.500, 0.500, 0.500)